1.
Be5Re3 | PBE-GGA | relaxed

Calculated values
Density of states at the Fermi level: 0.537 states/eV/atom
Energy: -0.5105 Ry per atom
Total magnetic moment: 0.00 μB/f.u.
Excess energy over the best structure of this formula in the dataset: 56.0 meV per atom
Formation energy from the elements: 52 meV per atom
Density: 11.29 g/cm³

Geometry as extended XYZ:
```
16
Lattice="-2.0374 -6.0807 2.2338 3.6100 5.4821 1.7279 -6.2681 2.5329 0.5264" Properties=species:S:1:pos:R:3 pbc="T T T"
Be -0.9620 3.8472 2.1257
Be -3.7316 -1.9081 2.3609
Be -5.2918 0.0672 2.0482
Be -1.8227 -0.9031 2.9129
Be -3.6082 0.1566 3.7298
Be 1.3016 3.9877 2.4287
Be -1.0856 1.7829 0.7566
Be -2.8715 2.8423 1.5743
Be -5.9948 -2.0479 2.0579
Be 0.5981 1.8719 2.4379
Re 0.6058 -0.6940 3.1600
Re -1.2554 -3.0229 2.3665
Re -1.5895 1.4112 3.1627
Re -3.4382 4.9624 2.1199
Re -5.3003 2.6341 1.3247
Re -3.1044 0.5282 1.3240
```

2.
LiPmSbAs | PBE-GGA | relaxed

Calculated values
Density of states at the Fermi level: 1.113 states/eV/atom
Energy: -0.3278 Ry per atom
Total magnetic moment: 0.00 μB/f.u.
Raw formation energy: -0.601 eV/atom
Density: 5.97 g/cm³

Geometry as extended XYZ:
```
4
Lattice="-3.0996 -1.7857 -3.7132 1.9682 -1.3668 -4.5653 0.1855 -4.9747 -1.3421" Properties=species:S:1:pos:R:3 pbc="T T T"
Li 0.0000 0.0000 0.0000
As -0.7094 -6.0955 -7.2154
Sb -0.2365 -2.0318 -2.4051
Pm -0.4729 -4.0636 -4.8103
```

3.
BaLaAu | PBE-GGA | relaxed

Calculated values
Density of states at the Fermi level: 1.246 states/eV/atom
Energy: -0.2816 Ry per atom
Total magnetic moment: 0.00 μB/f.u.
Excess energy over the best structure of this formula in the dataset: 0.0 meV per atom
Formation energy from the elements: -456 meV per atom
Density: 7.08 g/cm³

Geometry as extended XYZ:
```
3
Lattice="-7.2054 -0.1163 2.5147 -7.3801 -1.5615 -1.1617 -0.5182 -3.6397 1.4555" Properties=species:S:1:pos:R:3 pbc="T T T"
La -5.8707 -2.8932 1.4164
Au -14.3061 -1.7169 1.3550
Ba -9.5125 -2.3853 1.3899
```

4.
KMgP2 | PBE-GGA | relaxed

Calculated values
Density of states at the Fermi level: 0.322 states/eV/atom
Energy: -0.2550 Ry per atom
Total magnetic moment: 0.00 μB/f.u.
Formation energy from the elements: -92 meV per atom
Density: 2.59 g/cm³

Geometry as extended XYZ:
```
4
Lattice="3.0610 0.0102 0.0000 -0.0149 3.0610 0.0000 0.0000 0.0000 8.5817" Properties=species:S:1:pos:R:3 pbc="T T T"
P 0.0000 0.0000 4.6367
P 0.0000 0.0000 8.2359
Mg 1.5230 1.5356 6.4363
K 1.5230 1.5356 2.1454
```